[1]
## CaAlS2Cl (PBE-GGA)

Data for crystalline CaAlS2Cl at its relaxed geometry.

Formation energy from raw total energies in eV/atom: -1.247
Energy relative to the lowest polymorph listed for this composition in eV/atom: 0.000
Space group: P4/mmm

Cell: 4.735 4.735 4.668 Å, 90.00 90.00 90.00°
Positions (direct):
Ca1 0.500 0.500 0.500
Al1 0.000 0.000 0.000
S1 0.000 0.500 0.000
S2 0.500 0.000 0.000
Cl1 0.000 0.000 0.500

=====

[2]
## LiNi2HIr (PBE-GGA)

Data for crystalline LiNi2HIr at its relaxed geometry.

Space group: P4/mmm

Cell: 3.667 3.667 3.756 Å, 90.00 90.00 90.00°
Positions (direct):
Ni1 0.000 0.500 0.000
Ni2 0.500 0.000 0.000
Ir1 0.000 0.000 0.500
H1 0.000 0.000 0.000
Li1 0.500 0.500 0.500

=====

[3]
## Sc4IrRu (PBE-GGA)

Data for crystalline Sc4IrRu at its relaxed geometry.

DFT formation energy in eV/atom: 0.357
Energy relative to the lowest polymorph listed for this composition in eV/atom: 0.932
Space group: F-43m

Cell: 5.378 5.378 5.378 Å, 60.00 60.00 60.00°
Positions (direct):
Sc1 0.874 0.375 0.375
Sc2 0.375 0.375 0.874
Sc3 0.375 0.874 0.375
Sc4 0.375 0.375 0.375
Ir1 0.750 0.750 0.750
Ru1 0.000 0.000 0.000

=====

Number 1: calculated total energy -4.416 eV per atom. Number 2: calculated total energy -5.129 eV per atom. Number 3: calculated total energy -6.887 eV per atom.